# 1
A plane-wave DFT calculation with PBE-GGA was carried out for a geometry-optimized Zn2IN structure.

Properties
mass density = 5.7 g/cm3
final energy = -52.8 eV/cell

```
data_Zn2IN
_chemical_formula_sum 'Zn8 I4 N4'
_cell_length_a 5.750
_cell_length_b 5.750
_cell_length_c 9.646
_cell_angle_alpha 90.00
_cell_angle_beta 90.00
_cell_angle_gamma 90.00
_symmetry_space_group_name_H-M 'I -4 2 d'
_symmetry_Int_Tables_number 122
_symmetry_space_group_name_Hall 'I -4 2bw'
loop_
_atom_site_label
_atom_site_fract_x
_atom_site_fract_y
_atom_site_fract_z
Zn1 0.080 0.750 0.125
I1 0.000 0.000 0.500
N1 0.000 0.000 0.000
```

=====

# 2
A plane-wave DFT calculation with PBE-GGA was carried out for a geometry-optimized Zr2Nb4Co3N3 structure.

Properties
mass density = 7.9 g/cm3
total moment = 2.3 μB per cell
final energy = -447.1 eV/cell

```
data_Zr2Nb4Co3N3
_chemical_formula_sum 'Zr8 Nb16 Co12 N12'
_cell_length_a 9.256
_cell_length_b 5.328
_cell_length_c 13.493
_cell_angle_alpha 90.00
_cell_angle_beta 103.41
_cell_angle_gamma 90.00
_symmetry_space_group_name_H-M 'C 1 2/c 1'
_symmetry_Int_Tables_number 15
loop_
_symmetry_equiv_pos_as_xyz
'x,y,z'
'-x,-y,-z'
'-x,y,-z+1/2'
'x,-y,z+1/2'
'x+1/2,y+1/2,z'
'-x+1/2,-y+1/2,-z'
'-x+1/2,y+1/2,-z+1/2'
'x+1/2,-y+1/2,z+1/2'
loop_
_atom_site_label
_atom_site_fract_x
_atom_site_fract_y
_atom_site_fract_z
Zr1 0.042 0.084 0.376
Nb1 0.113 0.413 0.592
Nb2 0.222 0.416 0.908
Co1 0.000 0.414 0.750
Co2 0.249 0.163 0.750
N1 0.079 0.237 0.000
N2 0.250 0.250 0.500
```

=====

# 3
A plane-wave DFT calculation with PBE-GGA was carried out for a geometry-optimized Y4Lu2Sn3C3 structure.

Properties
mass density = 6.9 g/cm3
total moment = 0.0 μB per cell
final energy = -325.9 eV/cell

```
data_Y4Lu2Sn3C3
_chemical_formula_sum 'Y16 Lu8 Sn12 C12'
_cell_length_a 10.809
_cell_length_b 6.243
_cell_length_c 16.055
_cell_angle_alpha 90.00
_cell_angle_beta 102.98
_cell_angle_gamma 90.00
_symmetry_space_group_name_H-M 'C 1 2/c 1'
_symmetry_Int_Tables_number 15
loop_
_symmetry_equiv_pos_as_xyz
'x,y,z'
'-x,-y,-z'
'-x,y,-z+1/2'
'x,-y,z+1/2'
'x+1/2,y+1/2,z'
'-x+1/2,-y+1/2,-z'
'-x+1/2,y+1/2,-z+1/2'
'x+1/2,-y+1/2,z+1/2'
loop_
_atom_site_label
_atom_site_fract_x
_atom_site_fract_y
_atom_site_fract_z
Y1 0.112 0.082 0.087
Y2 0.221 0.084 0.413
Lu1 0.057 0.416 0.920
Sn1 0.000 0.108 0.750
Sn2 0.155 0.427 0.250
C1 0.082 0.253 0.500
C2 0.250 0.250 0.000
```

=====

# 4
A plane-wave DFT calculation with PBE-GGA was carried out for a geometry-optimized MgGaCoSi structure.

Properties
distance to the lowest polymorph of the same formula = 0 meV per atom
mass density = 5.4 g/cm3
total moment = 0.0 μB per cell

```
data_MgGaCoSi
_chemical_formula_sum 'Mg4 Ga4 Co4 Si4'
_cell_length_a 6.051
_cell_length_b 6.051
_cell_length_c 6.051
_cell_angle_alpha 90.00
_cell_angle_beta 90.00
_cell_angle_gamma 90.00
_symmetry_space_group_name_H-M 'F -4 3 m'
_symmetry_Int_Tables_number 216
_symmetry_space_group_name_Hall 'F -4 2 3'
loop_
_atom_site_label
_atom_site_fract_x
_atom_site_fract_y
_atom_site_fract_z
Mg1 0.000 0.000 0.000
Ga1 0.250 0.250 0.750
Co1 0.000 0.000 0.500
Si1 0.250 0.250 0.250
```

=====

# 5
A plane-wave DFT calculation with PBE-GGA was carried out for a geometry-optimized AcPaNb structure.

Properties
distance to the lowest polymorph of the same formula = 0 meV per atom
mass density = 9.9 g/cm3
total moment = 0.1 μB per cell

```
data_AcPaNb
_chemical_formula_sum 'Ac4 Pa4 Nb4'
_cell_length_a 7.173
_cell_length_b 7.173
_cell_length_c 7.173
_cell_angle_alpha 90.00
_cell_angle_beta 90.00
_cell_angle_gamma 90.00
_symmetry_space_group_name_H-M 'F -4 3 m'
_symmetry_Int_Tables_number 216
_symmetry_space_group_name_Hall 'F -4 2 3'
loop_
_atom_site_label
_atom_site_fract_x
_atom_site_fract_y
_atom_site_fract_z
Ac1 0.000 0.000 0.000
Pa1 0.000 0.000 0.500
Nb1 0.250 0.250 0.750
```

=====

# 6
A plane-wave DFT calculation with PBE-GGA was carried out for a geometry-optimized Fe7Ir structure.

Properties
mass density = 10.1 g/cm3
total moment = 18.1 μB per cell
final energy = -67.3 eV/cell

```
data_Fe7Ir
_chemical_formula_sum 'Fe7 Ir1'
_cell_length_a 4.073
_cell_length_b 4.073
_cell_length_c 5.763
_cell_angle_alpha 90.00
_cell_angle_beta 90.00
_cell_angle_gamma 90.00
_symmetry_space_group_name_H-M 'P 4/m m m'
_symmetry_Int_Tables_number 123
_symmetry_space_group_name_Hall '-P 4 2'
loop_
_atom_site_label
_atom_site_fract_x
_atom_site_fract_y
_atom_site_fract_z
Fe1 0.000 0.000 0.000
Fe2 0.000 0.000 0.500
Fe3 0.000 0.500 0.242
Fe4 0.500 0.500 0.000
Ir1 0.500 0.500 0.500
```

=====

# 7
A plane-wave DFT calculation with PBE-GGA was carried out for a geometry-optimized Ga2FeCu5 structure.

Properties
distance to the lowest polymorph of the same formula = 0 meV per atom
mass density = 8.5 g/cm3
total moment = 2.5 μB per cell

```
data_Ga2FeCu5
_chemical_formula_sum 'Ga2 Fe1 Cu5'
_cell_length_a 4.074
_cell_length_b 4.074
_cell_length_c 6.035
_cell_angle_alpha 90.00
_cell_angle_beta 90.00
_cell_angle_gamma 90.00
_symmetry_space_group_name_H-M 'P 4/m m m'
_symmetry_Int_Tables_number 123
_symmetry_space_group_name_Hall '-P 4 2'
loop_
_atom_site_label
_atom_site_fract_x
_atom_site_fract_y
_atom_site_fract_z
Ga1 0.000 0.000 0.000
Ga2 0.500 0.500 0.500
Fe1 0.000 0.000 0.500
Cu1 0.000 0.500 0.250
Cu2 0.500 0.500 0.000
```

=====

# 8
A plane-wave DFT calculation with PBE-GGA was carried out for a geometry-optimized YTmNb2Sn2 structure.

Properties
mass density = 7.9 g/cm3
total moment = 1.0 μB per cell
final energy = -41.8 eV/cell

```
data_YTmNb2Sn2
_chemical_formula_sum 'Y1 Tm1 Nb2 Sn2'
_cell_length_a 4.194
_cell_length_b 4.194
_cell_length_c 8.096
_cell_angle_alpha 90.00
_cell_angle_beta 90.00
_cell_angle_gamma 90.00
_symmetry_space_group_name_H-M 'P 4 m m'
_symmetry_Int_Tables_number 99
loop_
_symmetry_equiv_pos_as_xyz
'x,y,z'
'-y,x,z'
'-x,-y,z'
'y,-x,z'
'-x,y,z'
'y,x,z'
'x,-y,z'
'-y,-x,z'
loop_
_atom_site_label
_atom_site_fract_x
_atom_site_fract_y
_atom_site_fract_z
Y1 0.000 0.000 0.000
Tm1 0.500 0.500 0.301
Nb1 0.000 0.500 0.648
Sn1 0.000 0.000 0.393
Sn2 0.500 0.500 0.903
```

=====

# 9
A plane-wave DFT calculation with PBE-GGA was carried out for a geometry-optimized PmF2 structure.

Properties
distance to the lowest polymorph of the same formula = 72 meV per atom
mass density = 5.5 g/cm3
total moment = 1.7 μB per cell

```
data_PmF2
_chemical_formula_sum 'Pm2 F4'
_cell_length_a 5.318
_cell_length_b 5.318
_cell_length_c 3.886
_cell_angle_alpha 90.00
_cell_angle_beta 90.00
_cell_angle_gamma 90.00
_symmetry_space_group_name_H-M 'P 42/m n m'
_symmetry_Int_Tables_number 136
_symmetry_space_group_name_Hall '-P 4n 2n'
loop_
_atom_site_label
_atom_site_fract_x
_atom_site_fract_y
_atom_site_fract_z
Pm1 0.000 0.000 0.000
F1 0.196 0.196 0.500
```

=====

# 10
A plane-wave DFT calculation with PBE-GGA was carried out for a geometry-optimized Lu2Ta4Sn3N3 structure.

Properties
mass density = 12.2 g/cm3
total moment = 0.0 μB per cell
final energy = -407.3 eV/cell

```
data_Lu2Ta4Sn3N3
_chemical_formula_sum 'Lu8 Ta16 Sn12 N12'
_cell_length_a 9.999
_cell_length_b 5.842
_cell_length_c 14.049
_cell_angle_alpha 90.00
_cell_angle_beta 103.43
_cell_angle_gamma 90.00
_symmetry_space_group_name_H-M 'C 1 2/c 1'
_symmetry_Int_Tables_number 15
loop_
_symmetry_equiv_pos_as_xyz
'x,y,z'
'-x,-y,-z'
'-x,y,-z+1/2'
'x,-y,z+1/2'
'x+1/2,y+1/2,z'
'-x+1/2,-y+1/2,-z'
'-x+1/2,y+1/2,-z+1/2'
'x+1/2,-y+1/2,z+1/2'
loop_
_atom_site_label
_atom_site_fract_x
_atom_site_fract_y
_atom_site_fract_z
Lu1 0.051 0.082 0.403
Ta1 0.110 0.425 0.574
Ta2 0.221 0.415 0.925
Sn1 0.000 0.461 0.250
Sn2 0.189 0.109 0.750
N1 0.079 0.237 0.000
N2 0.250 0.250 0.500
```

=====

# 11
A plane-wave DFT calculation with PBE-GGA was carried out for a geometry-optimized SrNiGe structure.

Properties
mass density = 4.5 g/cm3
total moment = 0.0 μB per cell
final energy = -39.0 eV/cell

```
data_SrNiGe
_chemical_formula_sum 'Sr4 Ni4 Ge4'
_cell_length_a 6.854
_cell_length_b 6.854
_cell_length_c 6.854
_cell_angle_alpha 90.00
_cell_angle_beta 90.00
_cell_angle_gamma 90.00
_symmetry_space_group_name_H-M 'F -4 3 m'
_symmetry_Int_Tables_number 216
_symmetry_space_group_name_Hall 'F -4 2 3'
loop_
_atom_site_label
_atom_site_fract_x
_atom_site_fract_y
_atom_site_fract_z
Sr1 0.000 0.000 0.000
Ni1 0.250 0.250 0.250
Ge1 0.250 0.250 0.750
```

=====

Which of these has the highest mass density? Lu2Ta4Sn3N3

=====

Look up the mass density of the second one. 7.9 g/cm3

=====

Repeat the second record exactly.
A plane-wave DFT calculation with PBE-GGA was carried out for a geometry-optimized Zr2Nb4Co3N3 structure.

Properties
mass density = 7.9 g/cm3
total moment = 2.3 μB per cell
final energy = -447.1 eV/cell

```
data_Zr2Nb4Co3N3
_chemical_formula_sum 'Zr8 Nb16 Co12 N12'
_cell_length_a 9.256
_cell_length_b 5.328
_cell_length_c 13.493
_cell_angle_alpha 90.00
_cell_angle_beta 103.41
_cell_angle_gamma 90.00
_symmetry_space_group_name_H-M 'C 1 2/c 1'
_symmetry_Int_Tables_number 15
loop_
_symmetry_equiv_pos_as_xyz
'x,y,z'
'-x,-y,-z'
'-x,y,-z+1/2'
'x,-y,z+1/2'
'x+1/2,y+1/2,z'
'-x+1/2,-y+1/2,-z'
'-x+1/2,y+1/2,-z+1/2'
'x+1/2,-y+1/2,z+1/2'
loop_
_atom_site_label
_atom_site_fract_x
_atom_site_fract_y
_atom_site_fract_z
Zr1 0.042 0.084 0.376
Nb1 0.113 0.413 0.592
Nb2 0.222 0.416 0.908
Co1 0.000 0.414 0.750
Co2 0.249 0.163 0.750
N1 0.079 0.237 0.000
N2 0.250 0.250 0.500
```

=====

Which formula does entry 11 have? SrNiGe